No. 1
Li2Cu2F5 PBE-GGA relaxed; uncorrected energy = -4.41 eV per atom
1.0
3.0123 0.0000 0.0000
-0.9895 6.7623 0.0000
-0.1187 -0.3662 9.6904
Li Cu F
4 4 10
Direct
0.1240 0.1509 0.1683
0.2682 0.5905 0.6236
0.7318 0.4095 0.3764
0.8760 0.8491 0.8317
0.2945 0.0998 0.6012
0.3078 0.6293 0.0995
0.6922 0.3707 0.9005
0.7055 0.9002 0.3988
0.0775 0.1900 0.7921
0.2165 0.3327 0.5165
0.2437 0.4481 0.2400
0.3622 0.7932 0.9526
0.3835 0.8719 0.6874
0.6165 0.1281 0.3126
0.6378 0.2068 0.0474
0.7563 0.5519 0.7600
0.7835 0.6673 0.4835
0.9225 0.8100 0.2079

=====

No. 2
Pr3HoEr3 PBE-GGA relaxed; uncorrected energy = -4.39 eV per atom
1.0
4.3657 2.5206 7.2409
-4.3657 2.5206 7.2409
0.0000 -5.0411 7.2409
Pr Ho Er
6 2 6
Direct
0.0649 0.8161 0.2966
0.1839 0.7034 0.9351
0.2966 0.0649 0.8161
0.7034 0.9351 0.1839
0.8161 0.2966 0.0649
0.9351 0.1839 0.7034
0.3504 0.3504 0.3504
0.6496 0.6496 0.6496
0.0591 0.5708 0.7287
0.2713 0.9409 0.4292
0.4292 0.2713 0.9409
0.5708 0.7287 0.0591
0.7287 0.0591 0.5708
0.9409 0.4292 0.2713

=====

No. 3
La2SiHg PBE-GGA relaxed; uncorrected energy = -4.16 eV per atom
1.0
-4.1025 4.1025 3.8194
4.1025 -4.1025 3.8194
4.1025 4.1025 -3.8194
La Si Hg
4 2 2
Direct
0.1007 0.6250 0.9757
0.3750 0.3507 0.4757
0.6493 0.1250 0.0243
0.8750 0.8993 0.5243
0.0000 0.0000 0.0000
0.7500 0.2500 0.5000
0.2500 0.7500 0.5000
0.5000 0.5000 0.0000